# 1
Entry from Alexandria via LeMat-Bulk: a relaxed structure of Ba2YBr7 (PBE).

```
Ba2YBr7
1.0
7.734 0.000 0.000
0.000 14.475 0.000
-2.787 0.000 13.837
Ba Y Br
8 4 28
Direct
0.207 0.000 0.239
0.208 0.169 0.738
0.266 0.758 0.857
0.267 0.412 0.357
0.733 0.912 0.643
0.734 0.258 0.143
0.792 0.669 0.262
0.793 0.500 0.761
0.363 0.692 0.459
0.365 0.478 0.959
0.635 0.978 0.041
0.637 0.192 0.541
0.064 0.580 0.458
0.064 0.589 0.958
0.101 0.962 0.790
0.102 0.208 0.290
0.116 0.825 0.373
0.118 0.344 0.872
0.348 0.871 0.072
0.350 0.300 0.572
0.370 0.620 0.272
0.370 0.786 0.633
0.371 0.384 0.133
0.372 0.550 0.772
0.432 0.038 0.473
0.432 0.132 0.973
0.568 0.538 0.527
0.568 0.632 0.027
0.628 0.050 0.228
0.629 0.884 0.867
0.630 0.120 0.728
0.630 0.286 0.367
0.650 0.800 0.428
0.652 0.371 0.928
0.882 0.844 0.128
0.884 0.325 0.627
0.898 0.708 0.710
0.899 0.462 0.210
0.936 0.080 0.542
0.936 0.089 0.042
```

Calculated values
Formation energy from raw total energies   -2.057 eV/atom
Excess energy over the best structure of this formula in the dataset   0 meV/atom
Crystal system   monoclinic
Space group   P2_1, No. 4
Mass density   3957 kg/m³

# 2
Entry from Alexandria via LeMat-Bulk: a relaxed structure of BaYBr (PBE).

```
BaYBr
1.0
-1.876 1.876 7.508
1.876 -1.876 7.508
1.876 1.876 -7.508
Ba Y Br
1 1 1
Direct
0.000 0.000 0.000
0.697 0.697 0.000
0.329 0.329 0.000
```

Calculated values
Formation energy from raw total energies   -0.599 eV/atom
Excess energy over the best structure of this formula in the dataset   115 meV/atom
Crystal system   tetragonal
Space group   I4mm, No. 107
Mass density   4811 kg/m³

# 3
Entry from Alexandria via LeMat-Bulk: a relaxed structure of BaYBr (PBE).

```
BaYBr
1.0
0.000 3.838 3.838
3.838 0.000 3.838
3.838 3.838 0.000
Ba Y Br
1 1 1
Direct
0.000 0.000 0.000
0.500 0.500 0.500
0.250 0.250 0.250
```

Calculated values
Formation energy from raw total energies   -0.261 eV/atom
Excess energy over the best structure of this formula in the dataset   454 meV/atom
Crystal system   cubic
Space group   F-43m, No. 216
Mass density   4496 kg/m³